Record 1
A plane-wave DFT calculation with GGA-PBE was carried out for a relaxed structure of CePr2Gd.

Unit cell a=3.6006 b=3.6006 c=10.2851 alpha=90.00 beta=90.00 gamma=90.00
Closest atoms and distances in Å follow each position.
Space group P4/mmm (No. 123)
Symmetry-distinct sites (fractional):
Ce  0.0000  0.0000  0.0000 (multiplicity 1)  8 Pr 3.55, 4 Ce 3.60
Pr  0.5000  0.5000  0.2409 (multiplicity 2)  4 Ce 3.55, 4 Pr 3.60, 4 Gd 3.69
Gd  0.0000  0.0000  0.5000 (multiplicity 1)  4 Gd 3.60, 8 Pr 3.69

Properties
E_form, eV per atom: 0.064
Final energy, eV/atom: -7.329
ΔE to the lowest computed polymorph, meV/atom: 0

***

Record 2
A plane-wave DFT calculation with GGA-PBE was carried out for a relaxed structure of CePrGd2.

Unit cell a=8.1060 b=8.1060 c=8.1060 alpha=90.00 beta=90.00 gamma=90.00
Closest atoms and distances in Å follow each position.
Space group Fm-3m (No. 225)
Symmetry-distinct sites (fractional):
Ce  0.0000  0.0000  0.0000 (multiplicity 4)  8 Gd 3.51
Pr  0.0000  0.0000  0.5000 (multiplicity 4)  8 Gd 3.51
Gd  0.2500  0.2500  0.2500 (multiplicity 8)  4 Ce 3.51, 4 Pr 3.51

Properties
E_form, eV per atom: 0.178
Final energy, eV/atom: -9.541
ΔE to the lowest computed polymorph, meV/atom: 119

***

Record 3
A plane-wave DFT calculation with GGA-PBE was carried out for a relaxed structure of CePrGdPu.

Unit cell a=7.9868 b=7.9868 c=7.9868 alpha=90.00 beta=90.00 gamma=90.00
Closest atoms and distances in Å follow each position.
Space group F-43m (No. 216)
Symmetry-distinct sites (fractional):
Ce  0.0000  0.0000  0.0000 (multiplicity 4)  4 Pr 3.46, 4 Gd 3.46
Pr  0.2500  0.2500  0.2500 (multiplicity 4)  4 Pu 3.46, 4 Ce 3.46
Gd  0.2500  0.2500  0.7500 (multiplicity 4)  4 Ce 3.46, 4 Pu 3.46
Pu  0.0000  0.0000  0.5000 (multiplicity 4)  4 Gd 3.46, 4 Pr 3.46

Properties
E_form, eV per atom: 0.280
Final energy, eV/atom: -9.501

***

Record 4
A plane-wave DFT calculation with GGA-PBE was carried out for a relaxed structure of CePrSmGd.

Unit cell a=8.1538 b=8.1538 c=8.1538 alpha=90.00 beta=90.00 gamma=90.00
Closest atoms and distances in Å follow each position.
Space group F-43m (No. 216)
Symmetry-distinct sites (fractional):
Ce  0.0000  0.0000  0.0000 (multiplicity 4)  4 Gd 3.53, 4 Pr 3.53
Pr  0.2500  0.2500  0.2500 (multiplicity 4)  4 Ce 3.53, 4 Sm 3.53
Sm  0.0000  0.0000  0.5000 (multiplicity 4)  4 Gd 3.53, 4 Pr 3.53
Gd  0.2500  0.2500  0.7500 (multiplicity 4)  4 Ce 3.53, 4 Sm 3.53

Properties
E_form, eV per atom: 0.184
Final energy, eV/atom: -7.195

***

Record 5
A plane-wave DFT calculation with GGA-PBE was carried out for a relaxed structure of TbCePrGd.

Unit cell a=8.1191 b=8.1191 c=8.1191 alpha=90.00 beta=90.00 gamma=90.00
Closest atoms and distances in Å follow each position.
Space group F-43m (No. 216)
Symmetry-distinct sites (fractional):
Tb  0.0000  0.0000  0.0000 (multiplicity 4)  4 Gd 3.52, 4 Pr 3.52
Ce  0.0000  0.0000  0.5000 (multiplicity 4)  4 Gd 3.52, 4 Pr 3.52
Pr  0.2500  0.2500  0.2500 (multiplicity 4)  4 Tb 3.52, 4 Ce 3.52
Gd  0.2500  0.2500  0.7500 (multiplicity 4)  4 Tb 3.52, 4 Ce 3.52

Properties
E_form, eV per atom: 0.179
Final energy, eV/atom: -7.177

***

Record 6
A plane-wave DFT calculation with GGA-PBE was carried out for a relaxed structure of CePrGdTh.

Unit cell a=8.0758 b=8.0758 c=8.0758 alpha=90.00 beta=90.00 gamma=90.00
Closest atoms and distances in Å follow each position.
Space group F-43m (No. 216)
Symmetry-distinct sites (fractional):
Ce  0.0000  0.0000  0.0000 (multiplicity 4)  4 Pr 3.50, 4 Th 3.50
Pr  0.2500  0.2500  0.2500 (multiplicity 4)  4 Gd 3.50, 4 Ce 3.50
Gd  0.0000  0.0000  0.5000 (multiplicity 4)  4 Th 3.50, 4 Pr 3.50
Th  0.2500  0.2500  0.7500 (multiplicity 4)  4 Ce 3.50, 4 Gd 3.50

Properties
E_form, eV per atom: 0.215
Final energy, eV/atom: -7.839